[1]
Cs4FeO3 at its PBEsol-relaxed geometry. Source: the Alexandria database, functional meta-GGA SCAN.

Cell: 6.956 7.014 9.868 Å, 80.48 71.63 64.24°
Last column: magnetic moment on the atom in μB.
Fractional coordinates of all 16 atoms:
O  0.266  0.556  0.826  0.15
O  0.865  0.982  0.331  0.14
O  0.734  0.444  0.174  0.15
O  0.546  0.824  0.799  0.15
O  0.135  0.018  0.669  0.14
O  0.454  0.176  0.201  0.15
Cs  0.560  0.786  0.379  -0.01
Cs  0.270  0.648  0.147  0.00
Cs  0.440  0.214  0.621  -0.01
Cs  0.205  0.201  0.008  0.00
Cs  0.023  0.253  0.400  0.01
Cs  0.977  0.747  0.600  0.01
Cs  0.795  0.799  0.992  0.00
Cs  0.730  0.352  0.853  0.00
Fe  0.314  0.797  0.764  3.40
Fe  0.686  0.203  0.236  3.40

Results
As for the total energy: -24.90 eV per atom. Its total magnetization is 4.0 μB per formula unit.

[2]
K2DyNb5O15 at its PBEsol-relaxed geometry. Source: the Alexandria database, functional meta-GGA SCAN.

Cell: 3.920 12.623 12.623 Å, 90.00 90.00 90.00°
Fractional coordinates of all 46 atoms:
O  0.000  0.369  0.442
O  0.500  0.578  0.684
O  0.000  0.342  0.999
O  0.000  0.558  0.369
O  0.000  0.658  0.001
O  0.500  0.422  0.316
O  0.000  0.442  0.631
O  0.000  0.999  0.658
O  0.000  0.782  0.282
O  0.500  0.184  0.078
O  0.000  0.218  0.718
O  0.000  0.631  0.558
O  0.500  0.922  0.184
O  0.000  0.131  0.942
O  0.500  0.684  0.422
O  0.500  0.816  0.922
O  0.000  0.001  0.342
O  0.000  0.501  0.158
O  0.500  0.316  0.578
O  0.000  0.942  0.869
O  0.500  0.500  0.000
O  0.000  0.499  0.842
O  0.500  0.000  0.500
O  0.000  0.282  0.218
O  0.000  0.718  0.782
O  0.000  0.869  0.058
O  0.000  0.158  0.499
O  0.500  0.078  0.816
O  0.000  0.058  0.131
O  0.000  0.842  0.501
Nb  0.000  0.789  0.923
Nb  0.000  0.000  0.500
Nb  0.000  0.423  0.289
Nb  0.000  0.923  0.211
Nb  0.000  0.711  0.423
Nb  0.000  0.577  0.711
Nb  0.000  0.077  0.789
Nb  0.000  0.289  0.577
Nb  0.000  0.500  0.000
Nb  0.000  0.211  0.077
K  0.500  0.330  0.830
K  0.500  0.830  0.670
K  0.500  0.170  0.330
K  0.500  0.670  0.170
Dy  0.500  0.500  0.500
Dy  0.500  0.000  0.000

Results
As for the total energy: -16.91 eV per atom. Its total magnetization is 0.0 μB per formula unit.

[3]
ZrCoO3 at its PBEsol-relaxed geometry. Source: the Alexandria database, functional meta-GGA SCAN.

Cell: 5.299 5.299 5.545 Å, 61.45 61.45 60.00°
Last column: magnetic moment on the atom in μB.
Fractional coordinates of all 10 atoms:
Co  0.351  0.351  0.946  2.65
Co  0.649  0.649  0.054  2.65
O  0.052  0.750  0.750  0.07
O  0.449  0.052  0.750  0.07
O  0.948  0.250  0.250  0.07
O  0.551  0.948  0.250  0.07
O  0.250  0.551  0.250  0.07
O  0.750  0.449  0.750  0.07
Zr  0.142  0.142  0.575  0.04
Zr  0.858  0.858  0.425  0.04

Results
As for the total energy: -15.95 eV per atom. Its total magnetization is 3.0 μB per formula unit.

[4]
TbMgPd at its PBEsol-relaxed geometry. Source: the Alexandria database, functional meta-GGA SCAN.

Cell: 4.017 7.379 7.379 Å, 120.00 90.00 90.00°
Fractional coordinates of all 9 atoms:
Mg  0.000  0.000  0.755
Mg  0.000  0.245  0.245
Mg  0.000  0.755  0.000
Pd  0.500  0.000  0.000
Pd  0.000  0.667  0.333
Pd  0.000  0.333  0.667
Tb  0.500  0.412  0.000
Tb  0.500  0.588  0.588
Tb  0.500  0.000  0.412

Results
For the energy of formation, the calculation gives -0.777 eV/atom. As for the total energy: -28.95 eV per atom. Its total magnetization is 0.0 μB per formula unit.

[5]
Na2CaHg2 at its PBEsol-relaxed geometry. Source: the Alexandria database, functional meta-GGA SCAN.

Cell: 4.321 4.321 7.855 Å, 105.97 105.97 90.00°
Fractional coordinates of all 5 atoms:
Na  0.750  0.250  0.500
Na  0.250  0.750  0.500
Hg  0.598  0.598  0.196
Hg  0.402  0.402  0.804
Ca  0.000  0.000  0.000

Results
For the energy of formation, the calculation gives -0.356 eV/atom. As for the total energy: -31.24 eV per atom. The relative energy among the computed polymorphs is 0 meV/atom. Its total magnetization is 0.0 μB per formula unit.

[6]
ScAl4Os at its PBEsol-relaxed geometry. Source: the Alexandria database, functional meta-GGA SCAN.

Cell: 5.078 5.078 5.078 Å, 60.00 60.00 60.00°
Last column: magnetic moment on the atom in μB.
Fractional coordinates of all 6 atoms:
Sc  0.000  0.000  0.000  0.29
Al  0.876  0.375  0.375  0.01
Al  0.375  0.375  0.375  0.01
Al  0.375  0.375  0.876  0.01
Al  0.375  0.876  0.375  0.01
Os  0.750  0.750  0.750  0.38

Results
For the energy of formation, the calculation gives -0.144 eV/atom. As for the total energy: -19.66 eV per atom. Its total magnetization is 1.0 μB per formula unit.

What did the first record say?
Cs4FeO3 at its PBEsol-relaxed geometry. Source: the Alexandria database, functional meta-GGA SCAN.

Cell: 6.956 7.014 9.868 Å, 80.48 71.63 64.24°
Last column: magnetic moment on the atom in μB.
Fractional coordinates of all 16 atoms:
O  0.266  0.556  0.826  0.15
O  0.865  0.982  0.331  0.14
O  0.734  0.444  0.174  0.15
O  0.546  0.824  0.799  0.15
O  0.135  0.018  0.669  0.14
O  0.454  0.176  0.201  0.15
Cs  0.560  0.786  0.379  -0.01
Cs  0.270  0.648  0.147  0.00
Cs  0.440  0.214  0.621  -0.01
Cs  0.205  0.201  0.008  0.00
Cs  0.023  0.253  0.400  0.01
Cs  0.977  0.747  0.600  0.01
Cs  0.795  0.799  0.992  0.00
Cs  0.730  0.352  0.853  0.00
Fe  0.314  0.797  0.764  3.40
Fe  0.686  0.203  0.236  3.40

Results
As for the total energy: -24.90 eV per atom. Its total magnetization is 4.0 μB per formula unit.